1.
Here is NaTlHg4 after structural relaxation from Alexandria. Energies are from PBE.

Lattice parameters (Å, degrees): 10.0008 3.3018 11.1352 90.00 114.36 90.00
With the nearest neighbours (Å) after each atom.
Element x y z (fractional)
1 Na 0.0000 0.0000 0.0000  8 Hg 3.15-3.25, 2 Na 3.30
2 Na 0.5000 0.5000 0.0000  8 Hg 3.15-3.25, 2 Na 3.30
3 Tl 0.0000 0.5000 0.5000  8 Hg 3.18-3.48, 2 Tl 3.30
4 Tl 0.5000 0.0000 0.5000  8 Hg 3.18-3.48, 2 Tl 3.30
5 Hg 0.1559 0.5000 0.8431  5 Hg 3.11-3.34, 3 Na 3.15-3.23
6 Hg 0.1568 0.0000 0.3206  5 Hg 3.11-3.34, 3 Tl 3.18-3.43, 1 Na 3.25
7 Hg 0.3432 0.5000 0.6794  5 Hg 3.11-3.34, 3 Tl 3.18-3.43, 1 Na 3.25
8 Hg 0.3441 0.0000 0.1569  5 Hg 3.11-3.34, 3 Na 3.15-3.23
9 Hg 0.6559 0.0000 0.8431  5 Hg 3.11-3.34, 3 Na 3.15-3.23
10 Hg 0.6568 0.5000 0.3206  5 Hg 3.11-3.34, 3 Tl 3.18-3.43, 1 Na 3.25
11 Hg 0.8432 0.0000 0.6794  5 Hg 3.11-3.34, 3 Tl 3.18-3.43, 1 Na 3.25
12 Hg 0.8441 0.5000 0.1569  5 Hg 3.11-3.34, 3 Na 3.15-3.23

## Properties
The value obtained for the energy relative to the lowest polymorph listed for this composition is 30 meV/atom. As for the crystal system: monoclinic. As for the density of states at the Fermi level: 0.263 states/eV per atom. As for the energy of formation from the pure elements: -0.088 eV/atom.

---

2.
Here is Na4TlHg15 after structural relaxation from Alexandria. Energies are from PBE.

Lattice parameters (Å, degrees): 4.7753 4.7753 23.2788 90.00 90.00 90.00
With the nearest neighbours (Å) after each atom.
Element x y z (fractional)
1 Na 0.0000 0.0000 0.0996  12 Hg 3.31-3.38
2 Na 0.0000 0.0000 0.2966  12 Hg 3.31-3.38
3 Na 0.0000 0.0000 0.7034  12 Hg 3.31-3.38
4 Na 0.0000 0.0000 0.9004  12 Hg 3.31-3.38
5 Tl 0.0000 0.0000 0.5000  12 Hg 3.38-3.42
6 Hg 0.0000 0.5000 0.0000  4 Na 3.33, 8 Hg 3.33-3.38
7 Hg 0.0000 0.5000 0.1982  4 Na 3.31, 8 Hg 3.31-3.38
8 Hg 0.0000 0.5000 0.3950  8 Hg 3.31-3.42, 2 Na 3.31, 2 Tl 3.42
9 Hg 0.0000 0.5000 0.6050  8 Hg 3.31-3.42, 2 Na 3.31, 2 Tl 3.42
10 Hg 0.0000 0.5000 0.8018  4 Na 3.31, 8 Hg 3.31-3.38
11 Hg 0.5000 0.0000 0.0000  4 Na 3.33, 8 Hg 3.33-3.38
12 Hg 0.5000 0.0000 0.1982  4 Na 3.31, 8 Hg 3.31-3.38
13 Hg 0.5000 0.0000 0.3950  8 Hg 3.31-3.42, 2 Na 3.31, 2 Tl 3.42
14 Hg 0.5000 0.0000 0.6050  8 Hg 3.31-3.42, 2 Na 3.31, 2 Tl 3.42
15 Hg 0.5000 0.0000 0.8018  4 Na 3.31, 8 Hg 3.31-3.38
16 Hg 0.5000 0.5000 0.0997  8 Hg 3.31-3.33, 4 Na 3.38
17 Hg 0.5000 0.5000 0.2967  8 Hg 3.31, 4 Na 3.38
18 Hg 0.5000 0.5000 0.5000  4 Tl 3.38, 8 Hg 3.42
19 Hg 0.5000 0.5000 0.7033  8 Hg 3.31, 4 Na 3.38
20 Hg 0.5000 0.5000 0.9003  8 Hg 3.31-3.33, 4 Na 3.38

## Properties
As for the crystal system: tetragonal. As for the density of states at the Fermi level: 0.427 states/eV per atom. As for the energy of formation from the pure elements: -0.149 eV/atom.

---

3.
Here is NaTlHg4 after structural relaxation from Alexandria. Energies are from PBE.

Lattice parameters (Å, degrees): 3.4340 5.0652 9.3627 90.00 93.51 90.00
With the nearest neighbours (Å) after each atom.
Element x y z (fractional)
1 Na 0.0000 0.0000 0.0000  10 Hg 3.26-3.58, 2 Na 3.43
2 Tl 0.0000 0.5000 0.5000  10 Hg 3.35-3.55, 2 Tl 3.43
3 Hg 0.3792 0.5000 0.8388  5 Hg 3.08-3.43, 2 Na 3.26, 1 Tl 3.35
4 Hg 0.4170 0.0000 0.3278  5 Hg 3.08-3.43, 1 Na 3.31, 2 Tl 3.37
5 Hg 0.5830 0.0000 0.6722  5 Hg 3.08-3.43, 1 Na 3.31, 2 Tl 3.37
6 Hg 0.6208 0.5000 0.1612  5 Hg 3.08-3.43, 2 Na 3.26, 1 Tl 3.35

## Properties
The value obtained for the energy relative to the lowest polymorph listed for this composition is 0 meV/atom. As for the crystal system: monoclinic. As for the density of states at the Fermi level: 0.285 states/eV per atom. As for the energy of formation from the pure elements: -0.118 eV/atom.

---

4.
Here is NaTl5Hg2 after structural relaxation from Alexandria. Energies are from PBE.

Lattice parameters (Å, degrees): 6.2197 6.4973 6.5610 93.54 96.53 117.02
With the nearest neighbours (Å) after each atom.
Element x y z (fractional)
1 Na 0.0000 0.0000 0.0000  8 Tl 3.31-3.56, 3 Hg 3.33-3.41
2 Tl 0.0826 0.5536 0.2051  3 Hg 3.20-3.37, 5 Tl 3.39-3.53, 2 Na 3.49-3.55
3 Tl 0.3997 0.9004 0.7107  2 Hg 3.20-3.25, 4 Tl 3.32-3.55, 1 Na 3.55
4 Tl 0.5135 0.4841 0.9652  2 Na 3.31-3.36, 2 Hg 3.32-3.35, 6 Tl 3.44-3.69
5 Tl 0.7949 0.7937 0.4676  3 Hg 3.21-3.37, 4 Tl 3.37-3.56, 2 Na 3.53-3.56
6 Tl 0.9171 0.3824 0.6879  3 Hg 3.30-3.60, 7 Tl 3.32-3.69, 1 Na 3.49
7 Hg 0.3188 0.2850 0.4656  1 Hg 3.11, 6 Tl 3.20-3.37, 1 Na 3.36
8 Hg 0.5590 0.0594 0.1994  1 Hg 3.11, 5 Tl 3.20-3.37, 2 Na 3.33-3.41

## Properties
The value obtained for the energy relative to the lowest polymorph listed for this composition is 0 meV/atom. As for the crystal system: triclinic. As for the density of states at the Fermi level: 0.385 states/eV per atom. As for the energy of formation from the pure elements: -0.056 eV/atom.

---

5.
Here is Na12TlHg5 after structural relaxation from Alexandria. Energies are from PBE.

Lattice parameters (Å, degrees): 8.9747 8.9747 8.9747 116.14 111.93 100.71
With the nearest neighbours (Å) after each atom.
Element x y z (fractional)
1 Na 0.0438 0.8310 0.2127  3 Hg 3.12-3.26, 1 Tl 3.47
2 Na 0.2476 0.5562 0.3087  3 Hg 3.16-3.37, 1 Tl 3.41, 2 Na 3.54
3 Na 0.2476 0.9389 0.6913  3 Hg 3.16-3.37, 1 Tl 3.41, 2 Na 3.54
4 Na 0.2858 0.3084 0.5942  4 Hg 3.19-3.40
5 Na 0.2858 0.6916 0.9774  4 Hg 3.19-3.40
6 Na 0.3817 0.1690 0.2127  3 Hg 3.12-3.26, 1 Tl 3.47
7 Na 0.6183 0.8310 0.7873  3 Hg 3.12-3.26, 1 Tl 3.47
8 Na 0.7142 0.3084 0.0226  4 Hg 3.19-3.40
9 Na 0.7142 0.6916 0.4058  4 Hg 3.19-3.40
10 Na 0.7524 0.0611 0.3087  3 Hg 3.16-3.37, 1 Tl 3.41, 2 Na 3.54
11 Na 0.7524 0.4438 0.6913  3 Hg 3.16-3.37, 1 Tl 3.41, 2 Na 3.54
12 Na 0.9562 0.1690 0.7873  3 Hg 3.12-3.26, 1 Tl 3.47
13 Tl 0.5000 0.0000 0.5000  12 Na 3.41-3.63
14 Hg 0.0000 0.1609 0.1609  2 Hg 3.05-3.22, 8 Na 3.16-3.26
15 Hg 0.0000 0.5000 0.5000  2 Hg 3.22, 8 Na 3.37-3.40
16 Hg 0.0000 0.8391 0.8391  2 Hg 3.05-3.22, 8 Na 3.16-3.26
17 Hg 0.3680 0.3680 0.0000  1 Hg 3.02, 8 Na 3.12-3.24
18 Hg 0.6320 0.6320 0.0000  1 Hg 3.02, 8 Na 3.12-3.24

## Properties
As for the crystal system: orthorhombic. As for the density of states at the Fermi level: 0.371 states/eV per atom. As for the energy of formation from the pure elements: -0.163 eV/atom.

---

6.
Here is Na6Tl8Hg after structural relaxation from Alexandria. Energies are from PBE.

Lattice parameters (Å, degrees): 8.4459 8.4459 8.4459 61.83 61.83 61.83
With the nearest neighbours (Å) after each atom.
Element x y z (fractional)
1 Na 0.0548 0.2192 0.5549  1 Hg 3.22, 6 Tl 3.27-3.59
2 Na 0.2192 0.5549 0.0548  1 Hg 3.22, 6 Tl 3.27-3.59
3 Na 0.4451 0.9452 0.7808  1 Hg 3.22, 6 Tl 3.27-3.59
4 Na 0.5549 0.0548 0.2192  1 Hg 3.22, 6 Tl 3.27-3.59
5 Na 0.7808 0.4451 0.9452  1 Hg 3.22, 6 Tl 3.27-3.59
6 Na 0.9452 0.7808 0.4451  1 Hg 3.22, 6 Tl 3.27-3.59
7 Tl 0.1537 0.1537 0.1537  1 Hg 3.14, 3 Na 3.34, 3 Tl 3.47
8 Tl 0.2228 0.4112 0.6764  5 Tl 3.25-3.47, 4 Na 3.27-3.33
9 Tl 0.3236 0.7772 0.5888  5 Tl 3.25-3.47, 4 Na 3.27-3.33
10 Tl 0.4112 0.6764 0.2228  5 Tl 3.25-3.47, 4 Na 3.27-3.33
11 Tl 0.5888 0.3236 0.7772  5 Tl 3.25-3.47, 4 Na 3.27-3.33
12 Tl 0.6764 0.2228 0.4112  5 Tl 3.25-3.47, 4 Na 3.27-3.33
13 Tl 0.7772 0.5888 0.3236  5 Tl 3.25-3.47, 4 Na 3.27-3.33
14 Tl 0.8463 0.8463 0.8463  1 Hg 3.14, 3 Na 3.34, 3 Tl 3.47
15 Hg 0.0000 0.0000 0.0000  2 Tl 3.14, 6 Na 3.22

## Properties
As for the crystal system: trigonal. As for the density of states at the Fermi level: 0.709 states/eV per atom. As for the energy of formation from the pure elements: -0.080 eV/atom.

---

7.
Here is NaTl7Hg3 after structural relaxation from Alexandria. Energies are from PBE.

Lattice parameters (Å, degrees): 6.9835 6.9835 7.8959 90.00 90.00 120.00
With the nearest neighbours (Å) after each atom.
Element x y z (fractional)
1 Na 0.0000 0.0000 0.0000  3 Hg 3.26, 9 Tl 3.47-3.50
2 Tl 0.3333 0.6667 0.6726  3 Hg 3.41, 9 Tl 3.44-3.50
3 Tl 0.3419 0.1710 0.6464  2 Hg 3.23, 8 Tl 3.40-3.58, 1 Na 3.47
4 Tl 0.5043 0.0086 0.0202  2 Hg 3.18, 5 Tl 3.40-3.55, 2 Na 3.50
5 Tl 0.5043 0.4957 0.0202  2 Hg 3.18, 5 Tl 3.40-3.55, 2 Na 3.50
6 Tl 0.8290 0.1710 0.6464  2 Hg 3.23, 8 Tl 3.40-3.58, 1 Na 3.47
7 Tl 0.8290 0.6581 0.6464  2 Hg 3.23, 8 Tl 3.40-3.58, 1 Na 3.47
8 Tl 0.9914 0.4957 0.0202  2 Hg 3.18, 5 Tl 3.40-3.55, 2 Na 3.50
9 Hg 0.1635 0.3270 0.3277  5 Tl 3.18-3.41, 1 Na 3.26, 4 Hg 3.43-3.56
10 Hg 0.1635 0.8365 0.3277  5 Tl 3.18-3.41, 1 Na 3.26, 4 Hg 3.43-3.56
11 Hg 0.6730 0.8365 0.3277  5 Tl 3.18-3.41, 1 Na 3.26, 4 Hg 3.43-3.56

## Properties
As for the crystal system: trigonal. As for the density of states at the Fermi level: 0.413 states/eV per atom. As for the energy of formation from the pure elements: -0.011 eV/atom.

---

8.
Here is Na5Tl3Hg2 after structural relaxation from Alexandria. Energies are from PBE.

Lattice parameters (Å, degrees): 4.8037 5.9867 10.5062 92.04 90.06 113.49
With the nearest neighbours (Å) after each atom.
Element x y z (fractional)
1 Na 0.0000 0.0000 0.0000  4 Tl 3.37-3.39, 2 Hg 3.39, 6 Na 3.41-3.62
2 Na 0.1905 0.3805 0.4038  4 Hg 3.29-3.54, 5 Tl 3.31-3.51, 3 Na 3.35-3.37
3 Na 0.3147 0.6281 0.1170  2 Hg 3.21, 4 Tl 3.35-3.44, 3 Na 3.35-3.42
4 Na 0.6853 0.3719 0.8830  2 Hg 3.21, 4 Tl 3.35-3.44, 3 Na 3.35-3.42
5 Na 0.8095 0.6195 0.5962  4 Hg 3.29-3.54, 5 Tl 3.31-3.51, 3 Na 3.35-3.37
6 Tl 0.3855 0.7753 0.8017  8 Na 3.31-3.44, 3 Hg 3.32-3.55, 1 Tl 3.45
7 Tl 0.5000 0.0000 0.5000  4 Hg 3.33, 6 Na 3.36-3.51, 2 Tl 3.45
8 Tl 0.6145 0.2247 0.1983  8 Na 3.31-3.44, 3 Hg 3.32-3.55, 1 Tl 3.45
9 Hg 0.0980 0.1965 0.6981  7 Na 3.21-3.54, 5 Tl 3.32-3.55
10 Hg 0.9020 0.8035 0.3019  7 Na 3.21-3.54, 5 Tl 3.32-3.55

## Properties
As for the crystal system: triclinic. As for the density of states at the Fermi level: 0.419 states/eV per atom. As for the energy of formation from the pure elements: -0.139 eV/atom.

---

9.
Here is Na4Tl3Hg after structural relaxation from Alexandria. Energies are from PBE.

Lattice parameters (Å, degrees): 17.8235 5.0752 5.0763 90.00 106.06 90.00
With the nearest neighbours (Å) after each atom.
Element x y z (fractional)
1 Na 0.1227 0.0000 0.1225  6 Tl 3.28-3.37, 2 Hg 3.30, 4 Na 3.59
2 Na 0.1227 0.5000 0.6221  2 Hg 3.28-3.31, 6 Tl 3.30-3.38, 4 Na 3.59
3 Na 0.3773 0.0000 0.3779  2 Hg 3.28-3.31, 6 Tl 3.30-3.38, 4 Na 3.59
4 Na 0.3773 0.5000 0.8775  6 Tl 3.28-3.37, 2 Hg 3.30, 4 Na 3.59
5 Na 0.6227 0.0000 0.6221  2 Hg 3.28-3.31, 6 Tl 3.30-3.38, 4 Na 3.59
6 Na 0.6227 0.5000 0.1225  6 Tl 3.28-3.37, 2 Hg 3.30, 4 Na 3.59
7 Na 0.8773 0.0000 0.8775  6 Tl 3.28-3.37, 2 Hg 3.30, 4 Na 3.59
8 Na 0.8773 0.5000 0.3779  2 Hg 3.28-3.31, 6 Tl 3.30-3.38, 4 Na 3.59
9 Tl 0.0000 0.0000 0.5000  8 Na 3.28-3.31, 4 Hg 3.59
10 Tl 0.2480 0.0000 0.7491  8 Na 3.30-3.38, 4 Tl 3.58-3.60
11 Tl 0.2520 0.5000 0.2509  8 Na 3.30-3.38, 4 Tl 3.58-3.60
12 Tl 0.5000 0.5000 0.5000  8 Na 3.28-3.31, 4 Hg 3.59
13 Tl 0.7480 0.5000 0.7491  8 Na 3.30-3.38, 4 Tl 3.58-3.60
14 Tl 0.7520 0.0000 0.2509  8 Na 3.30-3.38, 4 Tl 3.58-3.60
15 Hg 0.0000 0.5000 0.0000  8 Na 3.28-3.31, 4 Tl 3.59
16 Hg 0.5000 0.0000 0.0000  8 Na 3.28-3.31, 4 Tl 3.59

## Properties
As for the crystal system: monoclinic. As for the density of states at the Fermi level: 0.445 states/eV per atom. As for the energy of formation from the pure elements: -0.129 eV/atom.

---

10.
Here is NaTl2Hg2 after structural relaxation from Alexandria. Energies are from PBE.

Lattice parameters (Å, degrees): 4.7005 4.7005 14.3022 90.00 90.00 90.00
With the nearest neighbours (Å) after each atom.
Element x y z (fractional)
1 Na 0.0000 0.0000 0.0000  8 Hg 3.61
2 Na 0.5000 0.5000 0.5000  8 Hg 3.61
3 Tl 0.0000 0.5000 0.2500  4 Hg 3.19, 4 Tl 3.32
4 Tl 0.0000 0.5000 0.7500  4 Hg 3.19, 4 Tl 3.32
5 Tl 0.5000 0.0000 0.2500  4 Hg 3.19, 4 Tl 3.32
6 Tl 0.5000 0.0000 0.7500  4 Hg 3.19, 4 Tl 3.32
7 Hg 0.0000 0.0000 0.4010  1 Hg 2.83
8 Hg 0.0000 0.0000 0.5990  1 Hg 2.83
9 Hg 0.5000 0.5000 0.0990  1 Hg 2.83
10 Hg 0.5000 0.5000 0.9010  1 Hg 2.83

## Properties
The value obtained for the energy relative to the lowest polymorph listed for this composition is 63 meV/atom. As for the crystal system: tetragonal. As for the density of states at the Fermi level: 0.439 states/eV per atom. As for the energy of formation from the pure elements: -0.042 eV/atom.

---

11.
Here is Na3Tl4Hg4 after structural relaxation from Alexandria. Energies are from PBE.

Lattice parameters (Å, degrees): 10.9517 5.9818 5.9818 52.68 90.00 90.00
With the nearest neighbours (Å) after each atom.
Element x y z (fractional)
1 Na 0.0000 0.0000 0.0000  3 Hg 3.20-3.58, 5 Tl 3.32-3.38
2 Na 0.3237 0.1299 0.1299  4 Hg 3.21-3.33, 4 Tl 3.34-3.44
3 Na 0.6763 0.1299 0.1299  4 Hg 3.21-3.33, 4 Tl 3.34-3.44
4 Tl 0.0000 0.3135 0.3135  4 Hg 3.09-3.15, 3 Na 3.32-3.36
5 Tl 0.2546 0.8221 0.8221  4 Hg 3.09-3.25, 4 Na 3.38-3.44
6 Tl 0.5000 0.3840 0.3840  5 Hg 3.18-3.44, 2 Na 3.34
7 Tl 0.7454 0.8221 0.8221  4 Hg 3.09-3.25, 4 Na 3.38-3.44
8 Hg 0.0000 0.6662 0.6662  4 Tl 3.09-3.25, 2 Hg 3.11, 2 Na 3.20
9 Hg 0.2278 0.4927 0.4927  1 Hg 3.11, 4 Tl 3.15-3.24, 2 Na 3.21
10 Hg 0.5000 0.6803 0.6803  5 Tl 3.09-3.44, 4 Na 3.33
11 Hg 0.7722 0.4927 0.4927  1 Hg 3.11, 4 Tl 3.15-3.24, 2 Na 3.21

## Properties
The value obtained for the energy relative to the lowest polymorph listed for this composition is 6 meV/atom. As for the crystal system: orthorhombic. As for the density of states at the Fermi level: 0.327 states/eV per atom. As for the energy of formation from the pure elements: -0.127 eV/atom.

---

12.
Here is NaTlHg5 after structural relaxation from Alexandria. Energies are from PBE.

Lattice parameters (Å, degrees): 4.5146 4.5146 9.7242 90.00 90.00 90.00
With the nearest neighbours (Å) after each atom.
Element x y z (fractional)
1 Na 0.0000 0.0000 0.0000  12 Hg 3.19-3.34
2 Tl 0.5000 0.5000 0.5000  8 Hg 3.29
3 Hg 0.0000 0.5000 0.2538  6 Hg 3.19-3.34, 2 Tl 3.29, 2 Na 3.34
4 Hg 0.0000 0.5000 0.7462  6 Hg 3.19-3.34, 2 Tl 3.29, 2 Na 3.34
5 Hg 0.5000 0.0000 0.2538  6 Hg 3.19-3.34, 2 Tl 3.29, 2 Na 3.34
6 Hg 0.5000 0.0000 0.7462  6 Hg 3.19-3.34, 2 Tl 3.29, 2 Na 3.34
7 Hg 0.5000 0.5000 0.0000  4 Na 3.19, 8 Hg 3.34

## Properties
As for the crystal system: tetragonal. As for the density of states at the Fermi level: 0.404 states/eV per atom. As for the energy of formation from the pure elements: -0.076 eV/atom.